[1]
Here is crystalline Ta2VGa2 at its relaxed geometry from Alexandria via LeMat-Bulk. Energies are from PBE.

## Properties
Its total energy is -39.587 eV per formula unit. The formation energy is -0.142 eV per atom. The value obtained for the total moment is 0.00 μB/f.u. The density of states at the Fermi level is 2.5 states/eV/f.u. For the density, the calculation gives 11.4 Mg/m³.

a b c (Å): 5.210 5.210 5.210
angles (deg): 140.67 112.37 81.13
Fractional coordinates of all 5 atoms:
Ta: 0.225 0.225 0.000
Ta: 0.775 0.775 0.000
V: 0.500 0.000 0.500
Ga: 0.205 0.500 0.705
Ga: 0.795 0.500 0.295

[2]
Here is crystalline SiPWS2 at its relaxed geometry from Alexandria via LeMat-Bulk. Energies are from PBE.

## Properties
Its total energy is -27.143 eV per formula unit. The value obtained for the total moment is 1.96 μB/f.u. The density of states at the Fermi level is 2.1 states/eV/f.u. For the density, the calculation gives 6.0 Mg/m³. As for the uncorrected formation energy: 95 kJ per mole of atoms.

a b c (Å): 4.381 4.381 4.456
angles (deg): 90.00 90.00 90.00
Fractional coordinates of all 5 atoms:
Si: 0.000 0.000 0.000
P: 0.000 0.000 0.500
W: 0.500 0.500 0.500
S: 0.000 0.500 0.000
S: 0.500 0.000 0.000

[3]
Here is crystalline Li3ScF at its relaxed geometry from Alexandria via LeMat-Bulk. Energies are from PBE.

## Properties
Its total energy is -17.236 eV per formula unit. The value obtained for the total moment is 1.65 μB/f.u. The density of states at the Fermi level is 3.7 states/eV/f.u. For the density, the calculation gives 1.6 Mg/m³. As for the uncorrected formation energy: -64 kJ per mole of atoms.

a b c (Å): 4.407 4.407 4.407
angles (deg): 90.00 90.00 90.00
Fractional coordinates of all 5 atoms:
Li: 0.000 0.000 0.500
Li: 0.000 0.500 0.000
Li: 0.500 0.000 0.000
Sc: 0.500 0.500 0.500
F: 0.000 0.000 0.000

[4]
Here is crystalline TaPRhO2 at its relaxed geometry from Alexandria via LeMat-Bulk. Energies are from PBE.

## Properties
Its total energy is -33.849 eV per formula unit. The value obtained for the total moment is 0.69 μB/f.u. The density of states at the Fermi level is 6.5 states/eV/f.u. For the density, the calculation gives 8.2 Mg/m³. As for the uncorrected formation energy: 13 kJ per mole of atoms.

a b c (Å): 3.833 3.833 4.800
angles (deg): 90.00 90.00 90.00
Fractional coordinates of all 5 atoms:
Ta: 0.000 0.000 0.000
P: 0.500 0.500 0.000
Rh: 0.500 0.500 0.500
O: 0.000 0.500 0.500
O: 0.500 0.000 0.500

[5]
Here is crystalline Ti2B at its relaxed geometry from Alexandria via LeMat-Bulk. Energies are from PBE.

## Properties
Its total energy is -22.016 eV per formula unit. The formation energy is 0.150 eV per atom. The value obtained for the total moment is 0.00 μB/f.u. The density of states at the Fermi level is 2.8 states/eV/f.u. For the density, the calculation gives 4.7 Mg/m³.

a b c (Å): 4.926 4.926 4.926
angles (deg): 97.71 97.71 137.04
Fractional coordinates of all 6 atoms:
Ti: 0.157 0.657 0.814
Ti: 0.343 0.157 0.500
Ti: 0.657 0.843 0.500
Ti: 0.843 0.343 0.186
B: 0.000 0.000 0.000
B: 0.500 0.500 0.000

[6]
Here is crystalline NiP at its relaxed geometry from Alexandria via LeMat-Bulk. Energies are from PBE.

## Properties
Its total energy is -11.894 eV per formula unit. The formation energy is -0.351 eV per atom. The value obtained for the total moment is 0.00 μB/f.u. The density of states at the Fermi level is 0.9 states/eV/f.u. For the density, the calculation gives 5.6 Mg/m³.

a b c (Å): 4.432 6.783 7.030
angles (deg): 90.00 90.00 90.00
Fractional coordinates of all 16 atoms:
Ni: 0.006 0.210 0.095
Ni: 0.239 0.055 0.387
Ni: 0.261 0.945 0.887
Ni: 0.494 0.790 0.595
Ni: 0.506 0.290 0.905
Ni: 0.739 0.445 0.613
Ni: 0.761 0.555 0.113
Ni: 0.994 0.710 0.405
P: 0.041 0.438 0.869
P: 0.044 0.368 0.370
P: 0.456 0.632 0.870
P: 0.459 0.562 0.369
P: 0.541 0.062 0.131
P: 0.544 0.132 0.630
P: 0.956 0.868 0.130
P: 0.959 0.938 0.631

[7]
Here is crystalline AcPuRh at its relaxed geometry from Alexandria via LeMat-Bulk. Energies are from PBE.

## Properties
Its total energy is -26.446 eV per formula unit. The formation energy is -0.218 eV per atom. The value obtained for the total moment is 5.71 μB/f.u. The density of states at the Fermi level is 9.3 states/eV/f.u. For the density, the calculation gives 11.7 Mg/m³.

a b c (Å): 6.540 6.540 6.540
angles (deg): 147.23 147.23 47.03
Fractional coordinates of all 3 atoms:
Ac: 0.000 0.000 0.000
Pu: 0.724 0.724 0.000
Rh: 0.328 0.328 0.000

[8]
Here is crystalline Sm4Dy3Ho8 at its relaxed geometry from Alexandria via LeMat-Bulk. Energies are from PBE.

## Properties
Its total energy is -67.384 eV per formula unit. The formation energy is 0.128 eV per atom. The value obtained for the total moment is 0.00 μB/f.u. The density of states at the Fermi level is 22.5 states/eV/f.u. For the density, the calculation gives 8.2 Mg/m³.

a b c (Å): 12.421 12.421 12.421
angles (deg): 32.39 32.39 32.39
Fractional coordinates of all 15 atoms:
Sm: 0.000 0.000 0.000
Sm: 0.163 0.163 0.163
Sm: 0.500 0.500 0.500
Sm: 0.837 0.837 0.837
Dy: 0.000 0.500 0.500
Dy: 0.500 0.000 0.500
Dy: 0.500 0.500 0.000
Ho: 0.250 0.250 0.747
Ho: 0.250 0.747 0.250
Ho: 0.253 0.750 0.750
Ho: 0.255 0.255 0.255
Ho: 0.745 0.745 0.745
Ho: 0.747 0.250 0.250
Ho: 0.750 0.253 0.750
Ho: 0.750 0.750 0.253

[9]
Here is crystalline KUGa2Cl8 at its relaxed geometry from Alexandria via LeMat-Bulk. Energies are from PBE.

## Properties
Its total energy is -50.016 eV per formula unit. The value obtained for the total moment is 0.95 μB/f.u. For the density, the calculation gives 2.6 Mg/m³. As for the uncorrected formation energy: -135 kJ per mole of atoms.

a b c (Å): 6.971 7.012 9.077
angles (deg): 89.79 89.75 88.19
Fractional coordinates of all 12 atoms:
K: 0.000 0.000 0.000
U: 0.000 0.000 0.500
Ga: 0.500 0.500 0.214
Ga: 0.500 0.500 0.786
Cl: 0.203 0.698 0.501
Cl: 0.213 0.137 0.699
Cl: 0.214 0.136 0.298
Cl: 0.291 0.650 0.000
Cl: 0.709 0.350 0.000
Cl: 0.786 0.864 0.702
Cl: 0.787 0.863 0.301
Cl: 0.797 0.302 0.499

[10]
Here is crystalline MnCd2Ag at its relaxed geometry from Alexandria via LeMat-Bulk. Energies are from PBE.

## Properties
Its total energy is -13.261 eV per formula unit. The formation energy is 0.147 eV per atom. The value obtained for the total moment is 3.77 μB/f.u. The density of states at the Fermi level is 1.9 states/eV/f.u. For the density, the calculation gives 8.6 Mg/m³.

a b c (Å): 3.096 4.836 5.010
angles (deg): 90.00 90.00 90.00
Fractional coordinates of all 4 atoms:
Mn: 0.000 0.000 0.000
Cd: 0.500 0.000 0.499
Cd: 0.500 0.500 0.126
Ag: 0.000 0.500 0.639

[11]
Here is crystalline IrO2F4 at its relaxed geometry from Alexandria via LeMat-Bulk. Energies are from PBE.

## Properties
Its total energy is -32.733 eV per formula unit. The value obtained for the total moment is 2.86 μB/f.u. The density of states at the Fermi level is 6.7 states/eV/f.u. For the density, the calculation gives 4.5 Mg/m³. As for the uncorrected formation energy: -89 kJ per mole of atoms.

a b c (Å): 3.203 4.439 8.123
angles (deg): 105.69 94.22 90.08
Fractional coordinates of all 7 atoms:
Ir: 0.000 0.000 0.000
O: 0.498 0.359 0.493
O: 0.502 0.641 0.507
F: 0.025 0.402 0.166
F: 0.478 0.118 0.879
F: 0.522 0.882 0.121
F: 0.975 0.598 0.834

[12]
Here is crystalline TaSiRu at its relaxed geometry from Alexandria via LeMat-Bulk. Energies are from PBE.

## Properties
Its total energy is -27.076 eV per formula unit. The value obtained for the total moment is 0.00 μB/f.u. The density of states at the Fermi level is 2.2 states/eV/f.u. For the density, the calculation gives 11.3 Mg/m³. As for the uncorrected formation energy: -17 kJ per mole of atoms.

a b c (Å): 2.900 2.900 6.247
angles (deg): 90.00 90.00 120.00
Fractional coordinates of all 3 atoms:
Ta: 0.000 0.000 0.000
Si: 0.667 0.333 0.649
Ru: 0.333 0.667 0.354